! PBE-GGA AlHgAu2, optimized geometry; values from VASP
! energy	-2.6968	eV/atom
! total magnetization	0.00	Bohr magnetons per cell
! formation energy from the elements	-5	kJ/mol of atoms
! space group	No. 122
&SYSTEM
  ibrav = 0, nat = 8, ntyp = 3
/
ATOMIC_SPECIES
Al 26.98 Al.upf
Hg 200.59 Hg.upf
Au 196.97 Au.upf
ATOMIC_POSITIONS angstrom
Al 0.000 0.000 0.000
Al 0.000 3.849 1.377
Hg 3.849 0.000 1.377
Hg 0.000 0.000 2.753
Au 1.924 1.593 -0.688
Au 2.256 -1.924 3.442
Au 1.924 2.256 2.065
Au 1.593 5.773 0.688
CELL_PARAMETERS angstrom
-3.849 3.849 2.753
3.849 -3.849 2.753
3.849 3.849 -2.753